First-principles (PBE-GGA) data for a relaxed YHo2Tl crystal, as listed in the Alexandria database.

Properties
DFT formation energy: -179 meV per atom
E above lowest polymorph: 15.2 meV per atom
calculated volume: 28.404 Å³/atom
mass density: 9.1 Mg/m³
D(E_F): 1.189 states/eV per atom

```
YHo2Tl
1.0
-1.011 1.383 -4.552
-1.934 -4.339 -0.889
-4.314 1.625 1.452
Y Tl Ho
1 1 2
Direct
0.500 0.000 0.000 Y
0.500 0.500 0.500 Tl
0.000 0.000 0.500 Ho
0.000 0.500 0.000 Ho
```

First-principles (PBE-GGA) data for a relaxed NpAuO5 crystal, as listed in the Alexandria database.

Properties
calculated volume: 16.620 Å³/atom
mass density: 7.3 Mg/m³
formation energy without anion corrections: -1528.6 meV per atom

```
NpAuO5
1.0
5.798 -0.074 -1.799
-1.744 4.762 -1.977
-0.298 -0.454 8.803
O Np Au
10 2 2
Direct
0.716 0.167 0.449 O
0.282 0.835 0.549 O
0.248 0.375 0.623 O
0.717 0.664 0.945 O
0.281 0.339 0.054 O
0.750 0.122 0.872 O
0.995 0.250 0.249 O
0.248 0.880 0.127 O
0.750 0.627 0.376 O
0.004 0.752 0.750 O
0.999 0.001 0.999 Np
0.999 0.501 0.499 Np
0.499 0.249 0.747 Au
0.499 0.753 0.251 Au
```

First-principles (PBE-GGA) data for a relaxed Ta3Nb4Mo4 crystal, as listed in the Alexandria database.

Properties
DFT formation energy: -85 meV per atom
calculated volume: 17.262 Å³/atom
mass density: 11.4 Mg/m³
D(E_F): 1.059 states/eV per atom

```
Ta3Nb4Mo4
1.0
2.872 0.003 0.066
0.005 4.569 0.010
1.754 2.295 14.515
Nb Ta Mo
4 3 4
Direct
0.711 0.547 0.906 Nb
0.289 0.453 0.094 Nb
0.098 0.817 0.367 Nb
0.902 0.183 0.633 Nb
0.000 0.000 0.000 Ta
0.200 0.637 0.724 Ta
0.800 0.363 0.276 Ta
0.538 0.908 0.184 Mo
0.363 0.273 0.455 Mo
0.462 0.092 0.816 Mo
0.637 0.727 0.545 Mo
```

First-principles (PBE-GGA) data for a relaxed PmTmSe2 crystal, as listed in the Alexandria database.

Properties
E above lowest polymorph: 370.9 meV per atom
calculated volume: 32.048 Å³/atom
mass density: 6.1 Mg/m³
formation energy without anion corrections: -1385.8 meV per atom
D(E_F): 0.374 states/eV per atom

```
PmTmSe2
1.0
4.292 0.000 -0.001
0.000 6.505 0.000
0.003 0.000 9.182
Se Pm Tm
4 2 2
Direct
0.201 0.055 0.018 Se
0.201 0.150 0.430 Se
0.701 0.555 0.198 Se
0.701 0.650 0.786 Se
0.201 0.930 0.696 Pm
0.701 0.430 0.520 Pm
0.701 0.298 0.948 Tm
0.201 0.798 0.268 Tm
```

First-principles (PBE-GGA) data for a relaxed Mg2Cd6Rh crystal, as listed in the Alexandria database.

Properties
DFT formation energy: -133 meV per atom
E above lowest polymorph: 0.0 meV per atom
calculated volume: 20.144 Å³/atom
mass density: 7.6 Mg/m³
D(E_F): 0.325 states/eV per atom

```
Mg2Cd6Rh
1.0
-1.575 2.774 2.843
2.362 -4.305 2.298
6.439 5.998 -2.284
Cd Rh Mg
6 1 2
Direct
0.681 0.362 0.391 Cd
0.673 0.345 0.058 Cd
0.327 0.655 0.942 Cd
0.319 0.638 0.609 Cd
0.994 0.989 0.822 Cd
0.006 0.011 0.178 Cd
0.000 0.000 0.500 Rh
0.367 0.734 0.313 Mg
0.633 0.266 0.687 Mg
```

First-principles (PBE-GGA) data for a relaxed TlAgI2O crystal, as listed in the Alexandria database.

Properties
E above lowest polymorph: 0.0 meV per atom
calculated volume: 29.506 Å³/atom
mass density: 6.6 Mg/m³
formation energy without anion corrections: -63.9 meV per atom
D(E_F): 0.984 states/eV per atom

```
TlAgI2O
1.0
5.960 0.000 0.000
0.000 5.960 0.000
0.000 0.000 4.154
O I Tl Ag
1 2 1 1
Direct
0.000 0.000 0.500 O
0.500 0.000 0.000 I
0.000 0.500 0.000 I
0.500 0.500 0.500 Tl
0.000 0.000 0.000 Ag
```

First-principles (PBE-GGA) data for a relaxed TbPrDy2S6 crystal, as listed in the Alexandria database.

Properties
calculated volume: 26.399 Å³/atom
mass density: 5.1 Mg/m³
formation energy without anion corrections: -2044.6 meV per atom
D(E_F): 0.000 states/eV per atom

```
TbPrDy2S6
1.0
-4.776 1.247 -4.980
-6.741 0.840 1.738
-2.915 6.793 -0.441
Tb S Dy Pr
1 6 2 1
Direct
0.315 0.315 0.055 Tb
0.395 0.722 0.748 S
0.912 0.617 0.246 S
0.224 0.912 0.246 S
0.617 0.224 0.246 S
0.135 0.395 0.748 S
0.722 0.135 0.748 S
0.014 0.014 0.957 Dy
0.518 0.518 0.446 Dy
0.809 0.809 0.573 Pr
```

First-principles (PBE-GGA) data for a relaxed Al2CrPd2 crystal, as listed in the Alexandria database.

Properties
DFT formation energy: 36 meV per atom
E above lowest polymorph: 328.7 meV per atom
calculated volume: 15.951 Å³/atom
mass density: 6.6 Mg/m³
D(E_F): 2.965 states/eV per atom

```
Al2CrPd2
1.0
3.749 0.000 0.000
0.000 3.749 0.000
1.875 1.875 5.673
Pd Cr Al
2 1 2
Direct
0.250 0.750 0.500 Pd
0.750 0.250 0.500 Pd
0.000 0.000 0.000 Cr
0.607 0.607 0.785 Al
0.393 0.393 0.215 Al
```

First-principles (PBE-GGA) data for a relaxed PaGeRu2 crystal, as listed in the Alexandria database.

Properties
DFT formation energy: -354 meV per atom
E above lowest polymorph: 192.1 meV per atom
calculated volume: 17.548 Å³/atom
mass density: 12.0 Mg/m³
D(E_F): 1.536 states/eV per atom

```
PaGeRu2
1.0
-0.575 -0.553 4.561
-2.957 -3.188 1.591
1.604 -3.807 2.091
Ru Ge Pa
2 1 1
Direct
0.250 0.250 0.250 Ru
0.750 0.750 0.750 Ru
0.500 0.500 0.500 Ge
0.000 0.000 0.000 Pa
```

First-principles (PBE-GGA) data for a relaxed NaLiTl2Sn crystal, as listed in the Alexandria database.

Properties
DFT formation energy: -4 meV per atom
calculated volume: 28.416 Å³/atom
mass density: 6.5 Mg/m³
D(E_F): 0.545 states/eV per atom

```
NaLiTl2Sn
1.0
-5.092 0.242 -1.209
-0.434 -5.160 0.793
-1.140 0.861 4.976
Li Na Tl Sn
1 1 2 1
Direct
0.000 0.000 0.000 Li
0.500 0.500 0.500 Na
0.000 0.500 0.000 Tl
0.500 0.000 0.000 Tl
0.000 0.000 0.500 Sn
```

First-principles (PBE-GGA) data for a relaxed ZrSnGe crystal, as listed in the Alexandria database.

Properties
DFT formation energy: -466 meV per atom
E above lowest polymorph: 0.0 meV per atom
calculated volume: 20.915 Å³/atom
mass density: 7.5 Mg/m³
D(E_F): 0.274 states/eV per atom

```
ZrSnGe
1.0
4.009 0.000 0.000
0.000 3.928 -1.023
0.000 -0.021 7.973
Ge Zr Sn
2 2 2
Direct
0.750 0.558 0.116 Ge
0.250 0.442 0.884 Ge
0.750 0.904 0.808 Zr
0.250 0.096 0.192 Zr
0.250 0.750 0.499 Sn
0.750 0.250 0.501 Sn
```

First-principles (PBE-GGA) data for a relaxed NaInS2Cl crystal, as listed in the Alexandria database.

Properties
E above lowest polymorph: 614.4 meV per atom
calculated volume: 28.345 Å³/atom
mass density: 2.8 Mg/m³
formation energy without anion corrections: 140.4 meV per atom
D(E_F): 0.889 states/eV per atom

```
NaInS2Cl
1.0
-1.632 -0.218 4.979
3.884 -3.338 1.127
3.068 3.969 1.180
S Na In Cl
2 1 1 1
Direct
0.000 0.500 0.000 S
0.500 0.000 0.000 S
0.000 0.000 0.000 Na
0.500 0.500 0.500 In
0.000 0.000 0.500 Cl
```

| no. | total magnetization (μB/cell) |
| --- | --- |
| 1 | 0.98 |
| 2 | 0.00 |
| 3 | 0.00 |
| 4 | 0.00 |
| 5 | 0.00 |
| 6 | 0.95 |
| 7 | 0.00 |
| 8 | 0.00 |
| 9 | 0.78 |
| 10 | 0.00 |
| 11 | 0.00 |
| 12 | 3.00 |